! Na5Tb3F12, relaxed, DFT PBE; values from VASP
! Volume in Å³/cell: 1196.9
! Spin magnetization in μB/cell: 0.0
! Space-group type: Ia-3d
! Total DFT energy (no corrections) in eV for the cell shown: -420.67
! Formation energy without anion corrections in meV/atom: -3111
&SYSTEM
  ibrav = 0, nat = 80, ntyp = 3
/
ATOMIC_SPECIES
Na 22.99 Na.upf
Tb 158.93 Tb.upf
F 19.00 F.upf
ATOMIC_POSITIONS crystal
Na 0.7500 0.1250 0.8750
Tb 0.6250 0.2500 0.3750
F 0.0607 0.6399 0.7291
Tb 0.7500 0.3750 0.1250
F 0.8601 0.2709 0.4393
F 0.9393 0.5792 0.1684
Na 0.0000 0.5000 0.0000
F 0.6399 0.5792 0.9108
F 0.5792 0.9393 0.6684
F 0.0892 0.1684 0.2291
F 0.2291 0.6684 0.0892
Na 0.2500 0.8750 0.1250
F 0.2291 0.5607 0.6399
F 0.3601 0.4208 0.0892
F 0.9208 0.8316 0.5607
F 0.9108 0.0792 0.6399
Tb 0.3750 0.6250 0.2500
Tb 0.7500 0.8750 0.6250
Na 0.0000 0.0000 0.5000
F 0.4393 0.7709 0.8601
Na 0.6250 0.7500 0.8750
F 0.7709 0.3316 0.9108
F 0.4393 0.6684 0.0792
F 0.5607 0.2291 0.1399
Tb 0.6250 0.3750 0.7500
Na 0.5000 0.5000 0.0000
Na 0.5000 0.5000 0.5000
Tb 0.8750 0.1250 0.2500
Tb 0.2500 0.6250 0.8750
F 0.1684 0.0892 0.7291
F 0.4208 0.3601 0.5892
Na 0.8750 0.2500 0.6250
F 0.5792 0.6399 0.4108
F 0.9393 0.3601 0.2709
Na 0.5000 0.0000 0.5000
Na 0.3750 0.2500 0.1250
F 0.4208 0.0607 0.3316
Na 0.2500 0.3750 0.6250
Tb 0.2500 0.1250 0.3750
F 0.1399 0.7291 0.5607
F 0.6684 0.4393 0.5792
F 0.8316 0.9208 0.0607
F 0.0892 0.9208 0.3601
Na 0.3750 0.1250 0.7500
Na 0.1250 0.7500 0.3750
Tb 0.1250 0.2500 0.8750
F 0.6684 0.2291 0.5892
Na 0.5000 0.0000 0.0000
F 0.9208 0.0892 0.8601
Na 0.8750 0.6250 0.7500
Na 0.1250 0.3750 0.2500
F 0.9108 0.8316 0.7709
Na 0.6250 0.8750 0.2500
F 0.7709 0.4393 0.3601
F 0.3601 0.9393 0.7709
F 0.1684 0.0792 0.9393
F 0.7291 0.1399 0.0607
F 0.0607 0.4208 0.8316
F 0.5892 0.7291 0.6684
F 0.3316 0.7709 0.4108
F 0.5607 0.3316 0.9208
F 0.4108 0.2709 0.3316
F 0.1399 0.4108 0.0792
Na 0.0000 0.5000 0.5000
Tb 0.8750 0.7500 0.1250
Na 0.7500 0.6250 0.3750
F 0.8601 0.5892 0.9208
F 0.4108 0.1399 0.5792
Na 0.0000 0.0000 0.0000
Tb 0.3750 0.7500 0.6250
F 0.2709 0.8601 0.9393
F 0.2709 0.4108 0.8316
F 0.3316 0.5607 0.4208
F 0.7291 0.5892 0.1684
F 0.0792 0.9108 0.1399
F 0.0792 0.1684 0.4393
F 0.8316 0.9108 0.2709
Tb 0.1250 0.8750 0.7500
F 0.5892 0.8601 0.4208
F 0.6399 0.0607 0.2291
CELL_PARAMETERS angstrom
11.5849 0.0000 0.0000
-3.8616 10.9224 0.0000
-3.8616 -5.4612 9.4590